Record 1
A plane-wave DFT calculation with GGA-PBE was carried out for crystalline Pa2SN2 at its relaxed geometry.

Unit cell a=6.067 b=6.067 c=6.239 alpha=113.97 beta=112.15 gamma=101.21
Fractional positions:
1 N 0.235 0.489 0.475
2 N 0.486 0.240 0.975
3 N 0.514 0.760 0.025
4 N 0.765 0.511 0.525
5 Pa 0.567 0.404 0.736
6 Pa 0.831 0.169 0.236
7 Pa 0.433 0.596 0.264
8 Pa 0.169 0.831 0.764
9 S 0.126 0.876 0.250
10 S 0.874 0.124 0.750

Results
DFT total energy	-9.5891	eV per atom
energy relative to the elements, uncorrected	-8.175	eV/f.u.

Record 2
A plane-wave DFT calculation with GGA-PBE was carried out for crystalline PrEr2Hg6 at its relaxed geometry.

Unit cell a=4.524 b=4.524 c=13.306 alpha=99.79 beta=99.79 gamma=90.00
Fractional positions:
1 Hg 0.750 0.250 0.500
2 Hg 0.911 0.411 0.822
3 Hg 0.589 0.089 0.178
4 Hg 0.250 0.750 0.500
5 Hg 0.089 0.589 0.178
6 Hg 0.411 0.911 0.822
7 Er 0.331 0.331 0.661
8 Er 0.669 0.669 0.339
9 Pr 0.000 0.000 0.000

Results
formation energy from the elements	-164.3	meV/atom
DFT total energy	-1.9106	eV per atom

Record 3
A plane-wave DFT calculation with GGA-PBE was carried out for crystalline LaTh2H8 at its relaxed geometry.

Unit cell a=3.616 b=6.209 c=6.548 alpha=118.30 beta=106.03 gamma=90.00
Fractional positions:
1 H 0.172 0.172 0.344
2 H 0.668 0.910 0.335
3 H 0.332 0.575 0.665
4 H 0.000 0.729 0.000
5 H 0.828 0.828 0.656
6 H 0.332 0.090 0.665
7 H 0.668 0.425 0.335
8 H 0.000 0.271 0.000
9 La 0.500 0.000 0.000
10 Th 0.830 0.330 0.661
11 Th 0.170 0.670 0.339

Results
DFT total energy	-4.7308	eV per atom

Record 4
A plane-wave DFT calculation with GGA-PBE was carried out for crystalline NaZr2NiS4 at its relaxed geometry.

Unit cell a=3.653 b=6.496 c=13.015 alpha=90.00 beta=90.00 gamma=106.33
Fractional positions:
1 Zr 0.368 0.736 0.932
2 Zr 0.368 0.736 0.568
3 Zr 0.632 0.264 0.068
4 Zr 0.632 0.264 0.432
5 S 0.000 0.000 0.000
6 S 0.274 0.549 0.384
7 S 0.274 0.549 0.116
8 S 0.726 0.451 0.616
9 S 0.447 0.894 0.750
10 S 0.726 0.451 0.884
11 S 0.553 0.106 0.250
12 S 0.000 0.000 0.500
13 Na 0.116 0.233 0.750
14 Na 0.884 0.767 0.250
15 Ni 0.161 0.321 0.250
16 Ni 0.839 0.679 0.750

Results
DFT total energy	-6.4166	eV per atom
energy relative to the elements, uncorrected	-10.626	eV/f.u.

Record 5
A plane-wave DFT calculation with GGA-PBE was carried out for crystalline CaTa2ZnPb at its relaxed geometry.

Unit cell a=5.322 b=5.040 c=5.322 alpha=90.00 beta=90.00 gamma=90.00
Fractional positions:
1 Ca 0.500 0.500 0.500
2 Ta 0.500 0.000 0.000
3 Ta 0.000 0.000 0.500
4 Pb 0.000 0.000 0.000
5 Zn 0.000 0.500 0.000

Results
formation energy from the elements	1607.3	meV/atom
DFT total energy	-4.5305	eV per atom

Record 6
A plane-wave DFT calculation with GGA-PBE was carried out for crystalline Nd2GePIr6 at its relaxed geometry.

Unit cell a=5.448 b=8.052 c=8.721 alpha=90.00 beta=90.00 gamma=90.00
Fractional positions:
1 Ir 0.000 0.907 0.748
2 Ir 0.259 0.525 0.000
3 Ir 0.741 0.525 0.000
4 Ir 0.759 0.020 0.500
5 Ir 0.241 0.475 0.500
6 Ir 0.500 0.093 0.752
7 Ir 0.000 0.907 0.252
8 Ir 0.500 0.093 0.248
9 Ir 0.741 0.980 0.000
10 Ir 0.759 0.475 0.500
11 Ir 0.259 0.980 0.000
12 Ir 0.241 0.020 0.500
13 Nd 0.500 0.714 0.733
14 Nd 0.000 0.286 0.767
15 Nd 0.000 0.286 0.233
16 Nd 0.500 0.714 0.267
17 Ge 0.500 0.261 0.000
18 Ge 0.000 0.739 0.500
19 P 0.500 0.250 0.500
20 P 0.000 0.750 0.000

Results
formation energy from the elements	-485.5	meV/atom
DFT total energy	-7.7584	eV per atom